VASP calculation (PBE-GGA) on Ce4AuSe2S after structural relaxation.

Computed properties:
Uncorrected energy   -6.266 eV/atom
ρ   7.539 Mg/m³
SG   P2/m
Size of the total moment   4.15 Bohr magnetons per cell
Calculated volume   208.7 Å³ per cell

Cell lengths 7.3005, 4.1358, 7.3161 Å; angles 90.00, 109.15, 90.00 degrees
Last column: nearest neighbours and their distance in Å.
Atoms (fractional coordinates):
1 Ce 0.2359 0.0000 0.2435  2 S 2.90, 3 Se 2.93-3.02, 1 Au 3.02
2 Ce 0.2420 0.5000 0.7518  1 S 2.92, 3 Se 2.94-3.04, 2 Au 2.98
3 Ce 0.7580 0.5000 0.2482  1 S 2.92, 3 Se 2.94-3.04, 2 Au 2.98
4 Ce 0.7641 0.0000 0.7565  2 S 2.90, 3 Se 2.93-3.02, 1 Au 3.02
5 Au 0.5000 0.0000 0.0000  6 Ce 2.98-3.02
6 Se 0.0000 0.0000 0.5000  6 Ce 2.93-2.94
7 Se 0.5000 0.5000 0.5000  6 Ce 3.02-3.04
8 S 0.0000 0.5000 0.0000  6 Ce 2.90-2.92